# TaAl2Cr

A relaxed TaAl2Cr crystal (PBE, the Alexandria database).

Unit cell a=4.446 b=4.446 c=4.446 alpha=60.00 beta=60.00 gamma=60.00
Site moments in Bohr magnetons follow the coordinates.
Sites, in units of the cell vectors:
Cr  0.000  0.000  0.000  2.39
Al  0.250  0.250  0.250  -0.02
Al  0.750  0.750  0.750  -0.02
Ta  0.500  0.500  0.500  -0.82

# Ta2AlCr

A relaxed Ta2AlCr crystal (PBE, the Alexandria database).

Unit cell a=8.690 b=8.690 c=8.690 alpha=19.84 beta=19.84 gamma=19.84
Sites, in units of the cell vectors:
Cr  0.750  0.750  0.750
Al  0.250  0.250  0.250
Ta  0.008  0.008  0.008
Ta  0.492  0.492  0.492

| no. | N(E_F) (states/eV per cell) | E_form (meV per atom) |
| --- | --- | --- |
| 1 | 4.0 | 109 |
| 2 | 2.2 | 168 |